A geometry-optimized Ta2PbCl structure. Source: Alexandria, functional GGA-PBE.

Cell lengths 3.0996, 3.0996, 27.9398 Å; angles 90.00, 90.00, 120.00 degrees
Closest atoms and distances in Å follow each position.
Space group R-3m (No. 166, hexagonal axes)
Inequivalent atoms, fractional coordinates:
Ta 0.0000 0.0000 0.2441 [6 per cell]  3 Cl 2.81, 3 Pb 3.07, 6 Ta 3.10
Pb 0.0000 0.0000 0.0000 [3 per cell]  6 Ta 3.07, 6 Pb 3.10
Cl 0.0000 0.0000 0.5000 [3 per cell]  6 Ta 2.81, 6 Cl 3.10

## Properties
calculated total energy: -6.81 eV per atom
formation energy without anion corrections: 2.013 eV/f.u.
polymorph energy (0 for the lowest one): 583 meV per atom



A geometry-optimized MgTc2Ir2 structure. Source: Alexandria, functional GGA-PBE.

Cell lengths 7.6254, 7.6254, 2.7552 Å; angles 90.00, 90.00, 90.00 degrees
Closest atoms and distances in Å follow each position.
Space group P4/mbm (No. 127)
Inequivalent atoms, fractional coordinates:
Mg 0.0000 0.0000 0.0000 [2 per cell]  2 Mg 2.76, 4 Ir 3.02
Tc 0.1728 0.3272 0.5000 [4 per cell]  6 Ir 2.60-2.67, 2 Tc 2.76
Ir 0.1228 0.6228 0.0000 [4 per cell]  6 Tc 2.60-2.67, 3 Ir 2.65-2.76

## Properties
calculated total energy: -8.03 eV per atom
polymorph energy (0 for the lowest one): 9 meV per atom
calculated formation energy: -0.0245 eV/atom



A geometry-optimized Hf2AlCo5B2 structure. Source: Alexandria, functional GGA-PBE.

Cell lengths 8.6361, 8.6361, 3.0724 Å; angles 90.00, 90.00, 90.00 degrees
Closest atoms and distances in Å follow each position.
Space group P4/mbm (No. 127)
Inequivalent atoms, fractional coordinates:
Hf 0.1771 0.3229 0.0000 [4 per cell]  3 B 2.48-2.61, 10 Co 2.65-2.76
Al 0.0000 0.0000 0.0000 [2 per cell]  8 Co 2.54
Co 0.0000 0.5000 0.5000 [2 per cell]  4 B 2.12
Co 0.0685 0.7764 0.5000 [8 per cell]  2 B 2.10
B 0.1195 0.6195 0.0000 [4 per cell]  6 Co 2.10-2.12

## Properties
calculated total energy: -7.90 eV per atom
calculated formation energy: -0.6437 eV/atom



A geometry-optimized K2CoMo structure. Source: Alexandria, functional GGA-PBE.

Cell lengths 5.6415, 11.8555, 2.7307 Å; angles 90.00, 112.17, 90.00 degrees
Closest atoms and distances in Å follow each position.
Space group C2/m (No. 12)
Inequivalent atoms, fractional coordinates:
K 0.2500 0.2500 0.0000 [4 per cell]  4 K 2.73-2.82
Co 0.0000 0.0000 0.5000 [2 per cell]  2 Co 2.73, 2 Mo 2.82
Mo 0.0000 0.5000 0.5000 [2 per cell]  2 Mo 2.73, 2 Co 2.82

## Properties
calculated total energy: -3.56 eV per atom
polymorph energy (0 for the lowest one): 674 meV per atom
calculated formation energy: 1.4762 eV/atom